No. 1
Ta2AlCr: PBEsol geometry, SCAN.

The space group is I-4m2 (No. 119) and the conventional cell measures 3.774, 3.774 and 8.696 Å, with angles of 90.00, 90.00 and 90.00 degrees. The distinct sites, in fractional coordinates, are Ta at (0.000, 0.000, 0.000), Ta at (0.000, 0.500, 0.250), Al at (0.000, 0.000, 0.500) and Cr at (0.000, 0.500, 0.750).

The value obtained for the mass density is 11.8 g/cm3. For the total energy, the calculation gives -318.3 eV per cell. The calculation puts the density of states at the Fermi level at 0.796 states/eV/atom.


No. 2
TaAl2Cr: PBEsol geometry, SCAN.

The space group is P2/m (No. 10) and the conventional cell measures 2.710, 4.174 and 5.320 Å, with angles of 90.00, 104.23 and 90.00 degrees. The distinct sites, in fractional coordinates, are Ta at (0.000, 0.000, 0.000), Al at (0.424, 0.500, 0.735) and Cr at (0.000, 0.000, 0.500).

The polymorph energy (0 for the lowest one) comes out at 0.000 eV/atom. The value obtained for the mass density is 8.2 g/cm3. For the total energy, the calculation gives -100.9 eV per cell. The calculation puts the density of states at the Fermi level at 0.521 states/eV/atom.


No. 3
Ta2AlCr: PBEsol geometry, SCAN.

The space group is Cmm2 (No. 35) and the conventional cell measures 3.228, 4.470 and 8.594 Å, with angles of 90.00, 90.00 and 90.00 degrees. The distinct sites, in fractional coordinates, are Ta at (0.000, 0.000, 0.000), Ta at (0.000, 0.500, 0.278), Al at (0.000, 0.000, 0.543) and Cr at (0.000, 0.500, 0.768).

The value obtained for the mass density is 11.8 g/cm3. For the total energy, the calculation gives -318.6 eV per cell. The calculation puts the density of states at the Fermi level at 0.746 states/eV/atom.


No. 4
TaAlCr4: PBEsol geometry, SCAN.

The space group is F-43m (No. 216) and the conventional cell measures 6.758, 6.758 and 6.758 Å, with angles of 90.00, 90.00 and 90.00 degrees. The distinct sites, in fractional coordinates, are Ta at (0.000, 0.000, 0.000), Al at (0.250, 0.250, 0.750) and Cr at (0.124, 0.124, 0.376).

The value obtained for the mass density is 9.0 g/cm3. For the total energy, the calculation gives -594.0 eV per cell. The calculation puts the density of states at the Fermi level at 0.397 states/eV/atom.


No. 5
TaAl2Cr: PBEsol geometry, SCAN.

The space group is Cm (No. 8) and the conventional cell measures 9.093, 2.723 and 4.820 Å, with angles of 90.00, 97.95 and 90.00 degrees. The distinct sites, in fractional coordinates, are Ta at (0.000, 0.000, 0.000), Al at (0.000, 0.500, 0.505), Al at (0.251, 0.500, 0.260) and Cr at (0.239, 0.000, 0.748).

The polymorph energy (0 for the lowest one) comes out at 0.110 eV/atom. The value obtained for the mass density is 8.1 g/cm3. For the total energy, the calculation gives -200.9 eV per cell. The calculation puts the density of states at the Fermi level at 0.702 states/eV/atom.


No. 6
TaAl2CrW: PBEsol geometry, SCAN.

The space group is P4/mmm (No. 123) and the conventional cell measures 4.786, 4.786 and 4.287 Å, with angles of 90.00, 90.00 and 90.00 degrees. The distinct sites, in fractional coordinates, are Ta at (0.000, 0.000, 0.000), Al at (0.000, 0.500, 0.000), Cr at (0.000, 0.000, 0.500) and W at (0.500, 0.500, 0.500).

The value obtained for the mass density is 8.0 g/cm3. For the total energy, the calculation gives -161.0 eV per cell. The calculation puts the density of states at the Fermi level at 0.539 states/eV/atom.


No. 7
AlCrTc2: PBEsol geometry, SCAN.

The space group is Imm2 (No. 44) and the conventional cell measures 3.019, 4.109 and 8.470 Å, with angles of 90.00, 90.00 and 90.00 degrees. The distinct sites, in fractional coordinates, are Al at (0.000, 0.000, 0.000), Cr at (0.000, 0.500, 0.753), Tc at (0.000, 0.000, 0.490) and Tc at (0.000, 0.500, 0.241).

The value obtained for the mass density is 8.7 g/cm3. For the total energy, the calculation gives -195.0 eV per cell. The calculation puts the density of states at the Fermi level at 0.533 states/eV/atom.


No. 8
Al2CrTc: PBEsol geometry, SCAN.

The space group is P4/mmm (No. 123) and the conventional cell measures 3.104, 3.104 and 5.709 Å, with angles of 90.00, 90.00 and 90.00 degrees. The distinct sites, in fractional coordinates, are Al at (0.000, 0.000, 0.244), Cr at (0.500, 0.500, 0.500) and Tc at (0.500, 0.500, 0.000).

The polymorph energy (0 for the lowest one) comes out at 0.065 eV/atom. The value obtained for the mass density is 6.2 g/cm3. For the total energy, the calculation gives -70.4 eV per cell. The calculation puts the density of states at the Fermi level at 0.755 states/eV/atom.


No. 9
Al2CrTc: PBEsol geometry, SCAN.

The space group is P4mm (No. 99) and the conventional cell measures 3.012, 3.012 and 5.878 Å, with angles of 90.00, 90.00 and 90.00 degrees. The distinct sites, in fractional coordinates, are Al at (0.000, 0.000, 0.000), Al at (0.500, 0.500, 0.282), Cr at (0.000, 0.000, 0.517) and Tc at (0.500, 0.500, 0.751).

The polymorph energy (0 for the lowest one) comes out at 0.069 eV/atom. The value obtained for the mass density is 6.4 g/cm3. For the total energy, the calculation gives -70.4 eV per cell. The calculation puts the density of states at the Fermi level at 0.299 states/eV/atom.


No. 10
Al2CrTc: PBEsol geometry, SCAN.

The space group is R-3m (No. 166, hexagonal axes) and the conventional cell measures 2.7210, 2.7210 and 25.5271 Å, with angles of 90.00, 90.00 and 120.00 degrees. The distinct sites, in fractional coordinates, are Al at (0.0000, 0.0000, 0.2483), Cr at (0.0000, 0.0000, 0.5000) and Tc at (0.0000, 0.0000, 0.0000).

The polymorph energy (0 for the lowest one) comes out at 0.391 eV/atom. The value obtained for the mass density is 6.2 g/cm3. For the total energy, the calculation gives -207.2 eV per cell. The calculation puts the density of states at the Fermi level at 0.857 states/eV/atom.


No. 11
Al2CrTc: PBEsol geometry, SCAN.

The space group is Pmmm (No. 47) and the conventional cell measures 3.111, 4.072 and 4.209 Å, with angles of 90.00, 90.00 and 90.00 degrees. The distinct sites, in fractional coordinates, are Al at (0.000, 0.000, 0.000), Al at (0.500, 0.000, 0.500), Cr at (0.000, 0.500, 0.500) and Tc at (0.500, 0.500, 0.000).

The polymorph energy (0 for the lowest one) comes out at 0.220 eV/atom. The value obtained for the mass density is 6.4 g/cm3. For the total energy, the calculation gives -69.8 eV per cell. The calculation puts the density of states at the Fermi level at 0.668 states/eV/atom.


No. 12
AlCr2Tc: PBEsol geometry, SCAN.

The space group is Pmmm (No. 47) and the conventional cell measures 2.590, 3.961 and 4.934 Å, with angles of 90.00, 90.00 and 90.00 degrees. The distinct sites, in fractional coordinates, are Al at (0.000, 0.000, 0.000), Cr at (0.500, 0.500, 0.243) and Tc at (0.000, 0.000, 0.500).

The value obtained for the mass density is 7.5 g/cm3. For the total energy, the calculation gives -79.4 eV per cell. The calculation puts the density of states at the Fermi level at 0.888 states/eV/atom.